La4BiPbN | PBE | relaxed

Lattice parameters (Å, degrees): 7.1363 7.1197 9.2206 90.00 112.77 90.00
Last column: nearest neighbours and their distance in Å.
Sites, in units of the cell vectors:
La 0.5000 0.5000 0.5000  2 N 2.52
La 0.0897 0.7500 0.1795  1 N 2.80
La 0.9103 0.2500 0.8205  1 N 2.80
La 0.5924 0.2500 0.1848  1 N 2.60
Pb 0.1069 0.2500 0.2138  9 La 3.34-3.58
N 0.2545 0.7500 0.5090  6 La 2.52-2.80
La 0.5000 0.0000 0.5000  2 N 2.52
La 0.4076 0.7500 0.8152  1 N 2.60
La 0.0000 0.5000 0.5000  2 N 2.52
Bi 0.3926 0.2500 0.7853  9 La 3.40-3.58
La 0.0000 0.0000 0.5000  2 N 2.52
Pb 0.8931 0.7500 0.7862  9 La 3.34-3.58
N 0.7455 0.2500 0.4910  6 La 2.52-2.80
Bi 0.6074 0.7500 0.2147  9 La 3.40-3.58

Computed properties:
- total energy (eV/cell) = -83.93
- total magnetization (μB per formula unit) = 0.0
- density of states at the Fermi level (states/eV/f.u.) = 6.7
- formation energy (no corrections) (eV/atom) = -0.906

---

LaBiPbN2 | PBE | relaxed

Lattice parameters (Å, degrees): 4.6552 6.3378 4.6552 90.00 90.00 90.00
Last column: nearest neighbours and their distance in Å.
Sites, in units of the cell vectors:
Pb 0.5000 0.5000 0.5000  4 La 3.29
N 0.5000 0.0000 0.0000  2 Bi 2.33
La 0.0000 0.5000 0.0000  2 Bi 3.17, 4 Pb 3.29
N 0.0000 0.0000 0.5000  2 Bi 2.33
Bi 0.0000 0.0000 0.0000  4 N 2.33

Computed properties:
- total energy (eV/cell) = -22.49
- total magnetization (μB per formula unit) = 2.0
- density of states at the Fermi level (states/eV/f.u.) = 5.5
- formation energy (no corrections) (eV/atom) = 1.335

---

La12BiPb4N3 | PBE | relaxed

Lattice parameters (Å, degrees): 9.2914 9.2914 9.2914 109.47 109.47 109.47
Last column: nearest neighbours and their distance in Å.
Sites, in units of the cell vectors:
N 0.0000 0.5000 0.5000  2 La 2.34
La 0.2818 0.0000 0.2818  1 N 2.34
N 0.5000 0.5000 0.0000  2 La 2.34
La 0.7500 0.2500 0.5000  2 N 2.68
La 0.2500 0.5000 0.7500  2 N 2.68
Pb 0.0000 0.0000 0.5000  12 La 3.79-3.81
La 0.0000 0.2818 0.2818  1 N 2.34
La 0.7500 0.5000 0.2500  2 N 2.68
Bi 0.0000 0.0000 0.0000  6 La 3.02
La 0.2818 0.2818 0.0000  1 N 2.34
Pb 0.5000 0.5000 0.5000  12 La 3.79-3.81
La 0.7182 0.7182 0.0000  1 N 2.34
La 0.5000 0.2500 0.7500  2 N 2.68
La 0.0000 0.7182 0.7182  1 N 2.34
N 0.5000 0.0000 0.5000  2 La 2.34
Pb 0.5000 0.0000 0.0000  12 La 3.79-3.81
La 0.5000 0.7500 0.2500  2 N 2.68
La 0.7182 0.0000 0.7182  1 N 2.34
Pb 0.0000 0.5000 0.0000  12 La 3.79-3.81
La 0.2500 0.7500 0.5000  2 N 2.68

Computed properties:
- total energy (eV/cell) = -117.10
- total magnetization (μB per formula unit) = 0.0
- density of states at the Fermi level (states/eV/f.u.) = 13.1
- formation energy (no corrections) (eV/atom) = -0.714

---

LaBiPbN2 | PBE | relaxed

Lattice parameters (Å, degrees): 4.3930 6.9699 4.3930 90.00 90.00 90.00
Last column: nearest neighbours and their distance in Å.
Sites, in units of the cell vectors:
La 0.0000 0.0000 0.0000  4 N 2.20
N 0.0000 0.0000 0.5000  2 La 2.20
Bi 0.0000 0.5000 0.0000  4 Pb 3.11
N 0.5000 0.0000 0.0000  2 La 2.20
Pb 0.5000 0.5000 0.5000  4 Bi 3.11

Computed properties:
- total energy (eV/cell) = -25.36
- total magnetization (μB per formula unit) = 0.2
- density of states at the Fermi level (states/eV/f.u.) = 3.6
- formation energy (no corrections) (eV/atom) = 0.762

---

LaBi2PdN | PBE | relaxed

Lattice parameters (Å, degrees): 4.9392 4.8687 4.9392 90.00 90.00 90.00
Last column: nearest neighbours and their distance in Å.
Sites, in units of the cell vectors:
Bi 0.0000 0.0000 0.5000  2 N 2.47
N 0.0000 0.0000 0.0000  2 La 2.43, 4 Bi 2.47
La 0.0000 0.5000 0.0000  2 N 2.43
Pd 0.5000 0.5000 0.5000  8 Bi 3.47, 4 La 3.49
Bi 0.5000 0.0000 0.0000  2 N 2.47

Computed properties:
- total energy (eV/cell) = -27.27
- total magnetization (μB per formula unit) = 0.0
- density of states at the Fermi level (states/eV/f.u.) = 1.7
- formation energy (no corrections) (eV/atom) = -0.213

---

La4Pm2Bi3N2 | PBE | relaxed

Lattice parameters (Å, degrees): 4.8918 4.8918 13.9746 100.08 100.08 90.00
Last column: nearest neighbours and their distance in Å.
Sites, in units of the cell vectors:
Pm 0.6931 0.6931 0.3862  1 N 2.29
Bi 0.0000 0.0000 0.0000  8 La 3.36
La 0.5852 0.0852 0.1705  2 N 2.53
Bi 0.8181 0.8181 0.6361  5 Pm 3.38-3.47, 4 La 3.58
La 0.9148 0.4148 0.8295  2 N 2.53
Bi 0.1819 0.1819 0.3639  5 Pm 3.38-3.47, 4 La 3.58
N 0.6084 0.6084 0.2169  1 Pm 2.29, 4 La 2.53
La 0.4148 0.9148 0.8295  2 N 2.53
Pm 0.3069 0.3069 0.6138  1 N 2.29
N 0.3916 0.3916 0.7831  1 Pm 2.29, 4 La 2.53
La 0.0852 0.5852 0.1705  2 N 2.53

Computed properties:
- total energy (eV/cell) = -69.16
- total magnetization (μB per formula unit) = 0.0
- density of states at the Fermi level (states/eV/f.u.) = 4.5
- formation energy (no corrections) (eV/atom) = -1.059

---

LaPmBiN | PBE | relaxed

Lattice parameters (Å, degrees): 4.7770 4.7770 9.4177 90.00 90.00 90.00
Last column: nearest neighbours and their distance in Å.
Sites, in units of the cell vectors:
Pm 0.5000 0.0000 0.8272  1 N 2.25
La 0.0000 0.0000 0.5000  4 N 2.53
La 0.5000 0.5000 0.5000  4 N 2.53
Bi 0.5000 0.0000 0.1914  5 Pm 3.38-3.43, 1 N 3.74, 4 La 3.76
Pm 0.0000 0.5000 0.1728  1 N 2.25
Bi 0.0000 0.5000 0.8086  5 Pm 3.38-3.43, 1 N 3.74, 4 La 3.76
N 0.5000 0.0000 0.5880  1 Pm 2.25
N 0.0000 0.5000 0.4120  1 Pm 2.25

Computed properties:
- total energy (eV/cell) = -53.35
- total magnetization (μB per formula unit) = 0.0
- density of states at the Fermi level (states/eV/f.u.) = 0.6
- formation energy (no corrections) (eV/atom) = -1.197

---

La4Pr2Bi3N2 | PBE | relaxed

Lattice parameters (Å, degrees): 4.9049 4.9049 14.0621 100.04 100.04 90.00
Last column: nearest neighbours and their distance in Å.
Sites, in units of the cell vectors:
Bi 0.8193 0.8193 0.6387  5 Pr 3.43-3.49, 4 La 3.58
Pr 0.6934 0.6934 0.3869  1 N 2.37
N 0.3934 0.3934 0.7867  1 Pr 2.37, 4 La 2.52
La 0.5848 0.0848 0.1696  2 N 2.52
La 0.9152 0.4152 0.8304  2 N 2.52
La 0.4152 0.9152 0.8304  2 N 2.52
Pr 0.3066 0.3066 0.6131  1 N 2.37
La 0.0848 0.5848 0.1696  2 N 2.52
Bi 0.0000 0.0000 0.0000  8 La 3.37
N 0.6066 0.6066 0.2133  1 Pr 2.37, 4 La 2.52
Bi 0.1807 0.1807 0.3613  5 Pr 3.43-3.49, 4 La 3.58

Computed properties:
- total energy (eV/cell) = -69.24
- total magnetization (μB per formula unit) = 0.0
- density of states at the Fermi level (states/eV/f.u.) = 4.7
- formation energy (no corrections) (eV/atom) = -1.062

---

La2Pr4Bi3N2 | PBE | relaxed

Lattice parameters (Å, degrees): 4.9316 4.9316 13.9142 100.21 100.21 90.00
Last column: nearest neighbours and their distance in Å.
Sites, in units of the cell vectors:
La 0.3098 0.3098 0.6195  1 N 2.27
Pr 0.5826 0.0826 0.1652  2 N 2.54
Bi 0.8222 0.8222 0.6443  5 La 3.50-3.55, 4 Pr 3.56
Bi 0.0000 0.0000 0.0000  8 Pr 3.32
Pr 0.4174 0.9174 0.8348  2 N 2.54
N 0.6059 0.6059 0.2117  1 La 2.27, 4 Pr 2.54
Pr 0.0826 0.5826 0.1652  2 N 2.54
La 0.6902 0.6902 0.3805  1 N 2.27
N 0.3941 0.3941 0.7883  1 La 2.27, 4 Pr 2.54
Pr 0.9174 0.4174 0.8348  2 N 2.54
Bi 0.1778 0.1778 0.3557  5 La 3.50-3.55, 4 Pr 3.56

Computed properties:
- total energy (eV/cell) = -68.83
- total magnetization (μB per formula unit) = 0.0
- density of states at the Fermi level (states/eV/f.u.) = 4.5
- formation energy (no corrections) (eV/atom) = -1.051

---

LaPuBiN | PBE | relaxed

Lattice parameters (Å, degrees): 4.7725 4.7725 9.1591 90.00 90.00 90.00
Last column: nearest neighbours and their distance in Å.
Sites, in units of the cell vectors:
Pu 0.5000 0.0000 0.8296  1 N 2.12
N 0.5000 0.0000 0.5983  1 Pu 2.12
La 0.0000 0.0000 0.5000  4 N 2.55
La 0.5000 0.5000 0.5000  4 N 2.55
Pu 0.0000 0.5000 0.1704  1 N 2.12
Bi 0.0000 0.5000 0.8096  5 Pu 3.30-3.38
Bi 0.5000 0.0000 0.1904  5 Pu 3.30-3.38
N 0.0000 0.5000 0.4017  1 Pu 2.12

Computed properties:
- total energy (eV/cell) = -70.65
- total magnetization (μB per formula unit) = 4.9
- density of states at the Fermi level (states/eV/f.u.) = 12.0
- formation energy (no corrections) (eV/atom) = -0.965

---

LaPuBiN2 | PBE | relaxed

Lattice parameters (Å, degrees): 5.6000 5.6826 7.5805 112.01 90.00 90.00
Last column: nearest neighbours and their distance in Å.
Sites, in units of the cell vectors:
N 0.5000 0.7715 0.0000  2 Pu 2.15
N 0.0000 0.2285 0.0000  2 Pu 2.15
Bi 0.7500 0.7484 0.4969  4 La 3.57-3.63, 4 Pu 3.78, 4 Bi 3.99
La 0.2500 0.5904 0.1807  4 N 2.44
N 0.5000 0.2285 0.0000  2 Pu 2.15
N 0.0000 0.7715 0.0000  2 Pu 2.15
Bi 0.2500 0.2516 0.5031  4 La 3.57-3.63, 4 Pu 3.78, 4 Bi 3.99
Pu 0.2500 0.9292 0.8584  4 N 2.15
La 0.7500 0.4096 0.8193  4 N 2.44
Pu 0.7500 0.0708 0.1416  4 N 2.15

Computed properties:
- total energy (eV/cell) = -90.15
- total magnetization (μB per formula unit) = 3.2
- density of states at the Fermi level (states/eV/f.u.) = 6.5
- formation energy (no corrections) (eV/atom) = -1.057

---

La2PuBi2N2 | PBE | relaxed

Lattice parameters (Å, degrees): 4.4494 4.4494 8.9397 104.41 104.41 90.00
Last column: nearest neighbours and their distance in Å.
Sites, in units of the cell vectors:
Pu 0.0000 0.0000 0.0000  4 N 2.22
N 0.0000 0.5000 0.0000  2 Pu 2.22
Bi 0.8046 0.8046 0.6091  1 Pu 3.27, 5 La 3.37-3.50, 4 Bi 3.64
La 0.3966 0.3966 0.7933  4 N 2.82
N 0.5000 0.0000 0.0000  2 Pu 2.22
La 0.6034 0.6034 0.2067  4 N 2.82
Bi 0.1954 0.1954 0.3909  1 Pu 3.27, 5 La 3.37-3.50, 4 Bi 3.64

Computed properties:
- total energy (eV/cell) = -55.15
- total magnetization (μB per formula unit) = 3.4
- density of states at the Fermi level (states/eV/f.u.) = 10.0
- formation energy (no corrections) (eV/atom) = -0.935

---

La2BiRuN | PBE | relaxed

Lattice parameters (Å, degrees): 5.4258 5.4258 3.9530 90.00 90.00 90.00
Last column: nearest neighbours and their distance in Å.
Sites, in units of the cell vectors:
La 0.5000 0.0000 0.0000  2 N 2.71
Bi 0.5000 0.5000 0.5000  8 La 3.36
N 0.0000 0.0000 0.0000  2 Ru 1.98
Ru 0.0000 0.0000 0.5000  2 N 1.98
La 0.0000 0.5000 0.0000  2 N 2.71

Computed properties:
- total energy (eV/cell) = -34.93
- total magnetization (μB per formula unit) = 0.3
- density of states at the Fermi level (states/eV/f.u.) = 5.4
- formation energy (no corrections) (eV/atom) = -0.718

---

LaBiSN2 | PBE | relaxed

Lattice parameters (Å, degrees): 4.3438 4.3438 5.2308 90.00 90.00 90.00
Last column: nearest neighbours and their distance in Å.
Sites, in units of the cell vectors:
Bi 0.0000 0.0000 0.0000  4 N 2.17
N 0.0000 0.5000 0.0000  2 Bi 2.17
N 0.5000 0.0000 0.0000  2 Bi 2.17
S 0.0000 0.0000 0.5000  2 Bi 2.62
La 0.5000 0.5000 0.5000  4 S 3.07, 8 N 3.40

Computed properties:
- total energy (eV/cell) = -28.45
- total magnetization (μB per formula unit) = 0.0
- density of states at the Fermi level (states/eV/f.u.) = 0.8
- formation energy (no corrections) (eV/atom) = 0.228

---

LaBiSN2 | PBE | relaxed

Lattice parameters (Å, degrees): 4.2904 4.2904 5.7940 90.00 90.00 90.00
Last column: nearest neighbours and their distance in Å.
Sites, in units of the cell vectors:
La 0.0000 0.0000 0.0000  4 N 2.15
S 0.0000 0.0000 0.5000  2 La 2.90, 4 Bi 3.03
N 0.5000 0.0000 0.0000  2 La 2.15
Bi 0.5000 0.5000 0.5000  4 S 3.03
N 0.0000 0.5000 0.0000  2 La 2.15

Computed properties:
- total energy (eV/cell) = -26.87
- total magnetization (μB per formula unit) = 0.1
- density of states at the Fermi level (states/eV/f.u.) = 2.7
- formation energy (no corrections) (eV/atom) = 0.542

---

La4BiS2N | PBE | relaxed

Lattice parameters (Å, degrees): 4.2576 7.4687 14.5686 90.00 90.00 106.56
Last column: nearest neighbours and their distance in Å.
Sites, in units of the cell vectors:
S 0.3694 0.7387 0.9454  6 La 2.94-3.04
S 0.6306 0.2613 0.0546  6 La 2.94-3.04
La 0.2595 0.5189 0.1237  1 N 2.29
S 0.6306 0.2613 0.4454  6 La 2.94-3.04
La 0.7405 0.4811 0.6237  1 N 2.29
La 0.5775 0.1550 0.2500  2 N 2.46
La 0.0000 0.0000 0.5000  4 S 2.94
La 0.4225 0.8450 0.7500  2 N 2.46
Bi 0.8952 0.7904 0.2500  6 La 3.37-3.42
S 0.3694 0.7387 0.5546  6 La 2.94-3.04
La 0.0000 0.0000 0.0000  4 S 2.94
La 0.7405 0.4811 0.8763  1 N 2.29
N 0.1642 0.3284 0.2500  4 La 2.29-2.46
Bi 0.1048 0.2096 0.7500  6 La 3.37-3.42
La 0.2595 0.5189 0.3763  1 N 2.29
N 0.8358 0.6716 0.7500  4 La 2.29-2.46

Computed properties:
- total energy (eV/cell) = -106.74
- total magnetization (μB per formula unit) = 0.0
- density of states at the Fermi level (states/eV/f.u.) = 4.0
- formation energy (no corrections) (eV/atom) = -1.650

---

La4BiSb2N2 | PBE | relaxed

Lattice parameters (Å, degrees): 4.1201 7.6041 9.4633 115.31 102.57 90.00
Last column: nearest neighbours and their distance in Å.
Sites, in units of the cell vectors:
La 0.4408 0.2561 0.8816  1 N 2.20
La 0.2237 0.1692 0.4473  3 N 2.44
N 0.3171 0.0204 0.6342  4 La 2.20-2.44
La 0.5592 0.7439 0.1184  1 N 2.20
Sb 0.1185 0.4687 0.2370  1 Bi 3.27, 7 La 3.44-3.65
La 0.7763 0.8308 0.5527  3 N 2.44
Bi 0.0000 0.0000 0.0000  2 Sb 3.27, 4 La 3.33
N 0.6829 0.9796 0.3658  4 La 2.20-2.44
Sb 0.8815 0.5313 0.7630  1 Bi 3.27, 7 La 3.44-3.65

Computed properties:
- total energy (eV/cell) = -58.77
- total magnetization (μB per formula unit) = 0.0
- density of states at the Fermi level (states/eV/f.u.) = 1.6
- formation energy (no corrections) (eV/atom) = -1.142

---

La2ScBiN | PBE | relaxed

Lattice parameters (Å, degrees): 5.2864 5.2864 4.4029 90.00 90.00 90.00
Last column: nearest neighbours and their distance in Å.
Sites, in units of the cell vectors:
La 0.0000 0.5000 0.0000  2 N 2.64
Sc 0.0000 0.0000 0.5000  2 N 2.20
N 0.0000 0.0000 0.0000  2 Sc 2.20
La 0.5000 0.0000 0.0000  2 N 2.64
Bi 0.5000 0.5000 0.5000  8 La 3.44, 4 Sc 3.74

Computed properties:
- total energy (eV/cell) = -33.35
- total magnetization (μB per formula unit) = 0.0
- density of states at the Fermi level (states/eV/f.u.) = 4.3
- formation energy (no corrections) (eV/atom) = -0.991

---

LaBiSeN2 | PBE | relaxed

Lattice parameters (Å, degrees): 4.3689 4.3689 6.0674 90.00 90.00 90.00
Last column: nearest neighbours and their distance in Å.
Sites, in units of the cell vectors:
La 0.0000 0.0000 0.0000  4 N 2.18
Se 0.0000 0.0000 0.5000  2 La 3.03, 4 Bi 3.09
N 0.0000 0.5000 0.0000  2 La 2.18
N 0.5000 0.0000 0.0000  2 La 2.18
Bi 0.5000 0.5000 0.5000  4 Se 3.09

Computed properties:
- total energy (eV/cell) = -26.26
- total magnetization (μB per formula unit) = 0.0
- density of states at the Fermi level (states/eV/f.u.) = 2.0
- formation energy (no corrections) (eV/atom) = 0.536

---

La4BiSe2N2 | PBE | relaxed

Lattice parameters (Å, degrees): 3.9568 9.2859 9.3919 124.92 90.00 102.30
Last column: nearest neighbours and their distance in Å.
Sites, in units of the cell vectors:
N 0.6731 0.3463 0.9559  4 La 2.23-2.43
La 0.2315 0.4629 0.1403  3 N 2.38-2.43
Se 0.1138 0.2276 0.5731  6 La 3.16-3.35, 1 Se 3.51
La 0.7685 0.5371 0.8597  3 N 2.38-2.43
La 0.4734 0.9468 0.2717  1 N 2.23
Se 0.8862 0.7724 0.4269  6 La 3.16-3.35, 1 Se 3.51
N 0.3269 0.6537 0.0441  4 La 2.23-2.43
Bi 0.0000 0.0000 0.0000  6 La 3.48-3.59
La 0.5266 0.0532 0.7283  1 N 2.23

Computed properties:
- total energy (eV/cell) = -60.80
- total magnetization (μB per formula unit) = 0.0
- density of states at the Fermi level (states/eV/f.u.) = 3.4
- formation energy (no corrections) (eV/atom) = -1.509